The following is a DFT calculation (GGA-PBE) of crystalline Li2AlOs at its relaxed geometry.

For the density of states at the Fermi level, the calculation gives 4.00 states/eV/cell. For the total energy, the calculation gives -4.525 eV per atom.

Cell: 2.597 2.597 8.772 Å, 90.00 90.00 90.00°
Space group P4/mmm (No. 123)
Unique sites:
Li: 0.000 0.000 0.239 x2
Al: 0.500 0.500 0.500 x1
Os: 0.500 0.500 0.000 x1